[1]
Material: ScCdTe2
Method: DFT, GGA-PBE
State: relaxed

The structure in CIF format:
```
data_ScCdTe2
_cell_length_a 4.320
_cell_length_b 5.523
_cell_length_c 10.014
_cell_angle_alpha 90.00
_cell_angle_beta 90.00
_cell_angle_gamma 90.00
_space_group_name_H-M_alt 'C m m m'
_space_group_IT_number 65
_space_group_name_Hall '-C 2 2'
loop_
_atom_site_label
_atom_site_type_symbol
_atom_site_fract_x
_atom_site_fract_y
_atom_site_fract_z
_atom_site_occupancy
Sc1 Sc 0.000 0.000 0.000 1
Cd1 Cd 0.000 0.000 0.500 1
Te1 Te 0.000 0.500 0.192 1
```

Computed properties:
raw formation energy	-504.2	meV per atom



[2]
Material: AcPm2Y2
Method: DFT, GGA-PBE
State: relaxed

The structure in CIF format:
```
data_AcPm2Y2
_cell_length_a 3.673
_cell_length_b 5.806
_cell_length_c 16.667
_cell_angle_alpha 90.00
_cell_angle_beta 90.00
_cell_angle_gamma 90.00
_space_group_name_H-M_alt 'I m m m'
_space_group_IT_number 71
_space_group_name_Hall '-I 2 2'
loop_
_atom_site_label
_atom_site_type_symbol
_atom_site_fract_x
_atom_site_fract_y
_atom_site_fract_z
_atom_site_occupancy
Ac1 Ac 0.000 0.000 0.000 1
Pm1 Pm 0.000 0.000 0.400 1
Y1 Y 0.000 0.500 0.284 1
```

Computed properties:
energy relative to the elements	0.14	eV/f.u.
E above lowest polymorph	0	meV/atom



[3]
Material: HgHPd
Method: DFT, GGA-PBE
State: relaxed

The structure in CIF format:
```
data_HgHPd
_cell_length_a 3.1505
_cell_length_b 3.1505
_cell_length_c 4.7301
_cell_angle_alpha 90.00
_cell_angle_beta 90.00
_cell_angle_gamma 120.00
_space_group_name_H-M_alt 'P 3 m 1'
_space_group_IT_number 156
loop_
_space_group_symop_operation_xyz
'x,y,z'
'-y,x-y,z'
'-x+y,-x,z'
'-y,-x,z'
'-x+y,y,z'
'x,x-y,z'
loop_
_atom_site_label
_atom_site_type_symbol
_atom_site_fract_x
_atom_site_fract_y
_atom_site_fract_z
_atom_site_occupancy
Hg1 Hg 0.0000 0.0000 0.0000 1
H1 H 0.3333 0.6667 0.4981 1
Pd1 Pd 0.6667 0.3333 0.5004 1
```

Computed properties:
E above lowest polymorph	0	meV/atom



[4]
Material: GaHg3S
Method: DFT, GGA-PBE
State: relaxed

The structure in CIF format:
```
data_GaHg3S
_cell_length_a 5.227
_cell_length_b 5.227
_cell_length_c 5.227
_cell_angle_alpha 90.00
_cell_angle_beta 90.00
_cell_angle_gamma 90.00
_space_group_name_H-M_alt 'P m -3 m'
_space_group_IT_number 221
_space_group_name_Hall '-P 4 2 3'
loop_
_atom_site_label
_atom_site_type_symbol
_atom_site_fract_x
_atom_site_fract_y
_atom_site_fract_z
_atom_site_occupancy
Ga1 Ga 0.000 0.000 0.000 1
Hg1 Hg 0.000 0.000 0.500 1
S1 S 0.500 0.500 0.500 1
```

Computed properties:
raw formation energy	383.3	meV per atom
E above lowest polymorph	0	meV/atom



[5]
Material: Er2ZnGa3Cu4
Method: DFT, GGA-PBE
State: relaxed

The structure in CIF format:
```
data_Er2ZnGa3Cu4
_cell_length_a 4.079
_cell_length_b 4.079
_cell_length_c 10.202
_cell_angle_alpha 90.00
_cell_angle_beta 90.00
_cell_angle_gamma 90.00
_space_group_name_H-M_alt 'P -4 m 2'
_space_group_IT_number 115
loop_
_space_group_symop_operation_xyz
'x,y,z'
'y,-x,-z'
'-x,-y,z'
'-y,x,-z'
'-x,y,z'
'-y,-x,-z'
'x,-y,z'
'y,x,-z'
loop_
_atom_site_label
_atom_site_type_symbol
_atom_site_fract_x
_atom_site_fract_y
_atom_site_fract_z
_atom_site_occupancy
Er1 Er 0.000 0.500 0.247 1
Zn1 Zn 0.000 0.000 0.500 1
Ga1 Ga 0.000 0.500 0.868 1
Ga2 Ga 0.500 0.500 0.500 1
Cu1 Cu 0.000 0.000 0.000 1
Cu2 Cu 0.000 0.500 0.636 1
Cu3 Cu 0.500 0.500 0.000 1
```

Computed properties:
energy relative to the elements	-3.78	eV/f.u.



[6]
Material: La3TbPm2Sm6
Method: DFT, GGA-PBE
State: relaxed

The structure in CIF format:
```
data_La3TbPm2Sm6
_cell_length_a 6.338
_cell_length_b 10.986
_cell_length_c 12.116
_cell_angle_alpha 90.00
_cell_angle_beta 100.11
_cell_angle_gamma 90.00
_space_group_name_H-M_alt 'C 1 2/m 1'
_space_group_IT_number 12
loop_
_space_group_symop_operation_xyz
'x,y,z'
'-x,-y,-z'
'-x,y,-z'
'x,-y,z'
'x+1/2,y+1/2,z'
'-x+1/2,-y+1/2,-z'
'-x+1/2,y+1/2,-z'
'x+1/2,-y+1/2,z'
loop_
_atom_site_label
_atom_site_type_symbol
_atom_site_fract_x
_atom_site_fract_y
_atom_site_fract_z
_atom_site_occupancy
La1 La 0.000 0.000 0.000 1
La2 La 0.000 0.333 0.000 1
Tb1 Tb 0.000 0.500 0.500 1
Pm1 Pm 0.000 0.167 0.500 1
Sm1 Sm 0.248 0.334 0.746 1
Sm2 Sm 0.249 0.000 0.746 1
```

Computed properties:
energy relative to the elements	0.20	eV/f.u.



Q: Number 3 is which compound?
A: HgHPd